Record 1
A relaxed Tb5Tl2Te2 crystal. Source: Alexandria, functional PBE.

POSCAR file:
```
Tb5Tl2Te2
1.0
-6.362 5.024 0.768
0.040 -1.178 8.042
4.871 6.651 -3.157
Tb Tl Te
10 4 4
Direct
0.000 0.000 0.000
0.500 0.500 0.000
0.836 0.805 0.275
0.164 0.470 0.275
0.336 0.970 0.275
0.664 0.305 0.275
0.164 0.195 0.725
0.836 0.530 0.725
0.664 0.030 0.725
0.336 0.695 0.725
0.631 0.866 0.000
0.369 0.134 0.000
0.131 0.634 0.000
0.869 0.366 0.000
0.000 0.201 0.402
0.500 0.701 0.402
0.000 0.799 0.598
0.500 0.299 0.598
```

Properties
Uncorrected formation energy in meV per atom: -778
Total energy in eV for the cell shown: -82.3



Record 2
A relaxed Tb3TlTe crystal. Source: Alexandria, functional PBE.

POSCAR file:
```
Tb3TlTe
1.0
-3.654 -4.144 -3.109
7.325 -5.524 -1.245
-7.085 -0.790 9.380
Tb Tl Te
12 4 4
Direct
0.000 0.750 0.750
0.000 0.250 0.250
0.500 0.750 0.750
0.500 0.250 0.250
0.750 0.662 0.446
0.250 0.338 0.554
0.250 0.838 0.054
0.750 0.162 0.946
0.250 0.530 0.156
0.750 0.470 0.844
0.750 0.970 0.344
0.250 0.030 0.656
0.750 0.045 0.652
0.250 0.955 0.348
0.250 0.455 0.848
0.750 0.545 0.152
0.250 0.609 0.463
0.750 0.391 0.537
0.750 0.891 0.037
0.250 0.109 0.963
```

Properties
Uncorrected formation energy in meV per atom: -582
Total energy in eV for the cell shown: -89.2



Record 3
A relaxed Tb6Tl3Te crystal. Source: Alexandria, functional PBE.

POSCAR file:
```
Tb6Tl3Te
1.0
-1.019 -6.665 -3.641
6.042 -3.916 5.477
-7.762 -1.257 4.473
Tb Tl Te
12 6 2
Direct
0.103 0.784 0.677
0.603 0.677 0.784
0.233 0.467 0.862
0.733 0.862 0.467
0.262 0.988 0.012
0.702 0.294 0.706
0.202 0.706 0.294
0.762 0.012 0.988
0.233 0.138 0.533
0.733 0.533 0.138
0.103 0.323 0.216
0.603 0.216 0.323
0.482 0.988 0.719
0.982 0.719 0.988
0.358 0.485 0.515
0.858 0.515 0.485
0.982 0.012 0.281
0.482 0.281 0.012
0.028 0.168 0.832
0.528 0.832 0.168
```

Properties
Uncorrected formation energy in meV per atom: -325
Total energy in eV for the cell shown: -82.5



Record 4
A relaxed Tb4TlTe crystal. Source: Alexandria, functional PBE.

POSCAR file:
```
Tb4TlTe
1.0
6.177 0.239 0.000
-2.775 7.540 0.000
0.000 0.000 8.460
Tb Tl Te
8 2 2
Direct
0.632 0.484 0.750
0.368 0.516 0.250
0.442 0.994 0.750
0.558 0.006 0.250
0.037 0.753 0.046
0.963 0.247 0.546
0.037 0.753 0.454
0.963 0.247 0.954
0.193 0.573 0.750
0.807 0.427 0.250
0.900 0.916 0.750
0.100 0.084 0.250
```

Properties
Uncorrected formation energy in meV per atom: -288
Total energy in eV for the cell shown: -51.5



Record 5
A relaxed TbTlTe2 crystal. Source: Alexandria, functional PBE.

POSCAR file:
```
TbTlTe2
1.0
8.580 -0.017 -0.010
7.426 4.298 -0.010
7.426 1.986 3.812
Tl Te Tb
1 2 1
Direct
0.500 0.500 0.500
0.738 0.738 0.738
0.262 0.262 0.262
0.000 0.000 0.000
```

Properties
Uncorrected formation energy in meV per atom: -1059
Total energy in eV for the cell shown: -17.5



Record 6
A relaxed Tb4Tl2Te crystal. Source: Alexandria, functional PBE.

POSCAR file:
```
Tb4Tl2Te
1.0
-3.478 4.781 5.515
1.677 -7.173 3.327
6.842 3.425 -2.605
Tb Tl Te
8 4 2
Direct
0.016 0.263 0.393
0.381 0.487 0.253
0.869 0.623 0.607
0.737 0.131 0.753
0.377 0.984 0.247
0.234 0.128 0.747
0.513 0.766 0.893
0.873 0.619 0.107
0.496 0.375 0.621
0.754 0.875 0.379
0.625 0.246 0.121
0.125 0.504 0.879
0.250 0.750 0.500
0.000 0.000 0.000
```

Properties
Uncorrected formation energy in meV per atom: -594
Total energy in eV for the cell shown: -61.1



Record 7
A relaxed Tb5TlTe2 crystal. Source: Alexandria, functional PBE.

POSCAR file:
```
Tb5TlTe2
1.0
6.076 0.000 0.000
-3.038 6.195 0.000
0.000 0.000 13.616
Tb Tl Te
10 2 4
Direct
0.940 0.881 0.889
0.940 0.881 0.611
0.382 0.763 0.446
0.382 0.763 0.054
0.621 0.241 0.250
0.379 0.759 0.750
0.618 0.237 0.554
0.618 0.237 0.946
0.060 0.119 0.111
0.060 0.119 0.389
0.735 0.470 0.750
0.265 0.530 0.250
0.812 0.625 0.408
0.812 0.625 0.092
0.188 0.375 0.592
0.188 0.375 0.908
```

Properties
Uncorrected formation energy in meV per atom: -509
Total energy in eV for the cell shown: -71.7



Record 8
A relaxed Tb4Tl3Te8 crystal. Source: Alexandria, functional PBE.

POSCAR file:
```
Tb4Tl3Te8
1.0
-4.568 -6.796 3.562
6.471 -1.695 -6.075
6.040 4.429 5.055
Tb Tl Te
4 3 8
Direct
0.500 0.000 0.000
0.000 0.500 0.000
0.000 0.000 0.000
0.000 0.000 0.500
0.500 0.500 0.000
0.500 0.000 0.500
0.500 0.500 0.500
0.481 0.229 0.229
0.000 0.754 0.246
0.984 0.239 0.239
0.500 0.759 0.241
0.500 0.241 0.759
0.016 0.761 0.761
0.000 0.246 0.754
0.519 0.771 0.771
```

Properties
Uncorrected formation energy in meV per atom: -969
Total energy in eV for the cell shown: -65.3



> Number 1 is which compound?

Tb5Tl2Te2



> Which value of total energy does entry 1 give?

-82.3 eV for the cell shown



> Among the records above, which one has the lowest uncorrected formation energy?

TbTlTe2